# 1
Entry from Alexandria via LeMat-Bulk: a relaxed LaZrTe crystal (PBEsol).

a = 4.885 Å, b = 4.885 Å, c = 4.885 Å
α = 60.00°, β = 60.00°, γ = 60.00°
Fractional coordinates of all 3 atoms:
Zr1 0.250 0.250 0.250
Te1 0.500 0.500 0.500
La1 0.000 0.000 0.000

- formation energy from raw total energies (meV/atom) = -21
- magnetization (μB/f.u.) = 1.098

---

# 2
Entry from Alexandria via LeMat-Bulk: a relaxed CsFe2Se2 crystal (PBEsol).

a = 3.793 Å, b = 3.793 Å, c = 7.635 Å
α = 104.38°, β = 104.38°, γ = 90.00°
Fractional coordinates of all 5 atoms:
Fe1 0.750 0.250 0.500
Fe2 0.250 0.750 0.500
Cs1 0.000 0.000 0.000
Se1 0.339 0.339 0.679
Se2 0.661 0.661 0.321

- formation energy from raw total energies (meV/atom) = -518
- magnetization (μB/f.u.) = 0.000

---

# 3
Entry from Alexandria via LeMat-Bulk: a relaxed CuHgAsSe2 crystal (PBEsol).

a = 5.056 Å, b = 5.180 Å, c = 5.180 Å
α = 90.00°, β = 90.00°, γ = 90.00°
Fractional coordinates of all 5 atoms:
Se1 0.000 0.500 0.000
Se2 0.000 0.000 0.500
Cu1 0.500 0.500 0.500
As1 0.500 0.000 0.000
Hg1 0.000 0.000 0.000

- formation energy from raw total energies (meV/atom) = 1209
- magnetization (μB/f.u.) = 0.777

---

# 4
Entry from Alexandria via LeMat-Bulk: a relaxed Na3Au crystal (PBEsol).

a = 5.201 Å, b = 6.562 Å, c = 6.562 Å
α = 120.00°, β = 90.00°, γ = 90.00°
Fractional coordinates of all 8 atoms:
Na1 0.750 0.177 0.355
Na2 0.250 0.823 0.645
Na3 0.250 0.355 0.177
Na4 0.250 0.823 0.177
Na5 0.750 0.645 0.823
Na6 0.750 0.177 0.823
Au1 0.750 0.667 0.333
Au2 0.250 0.333 0.667

- magnetization (μB/f.u.) = 0.000
- calculated formation energy (eV per atom) = -0.115

---

# 5
Entry from Alexandria via LeMat-Bulk: a relaxed BaGe2RuPb crystal (PBEsol).

a = 4.968 Å, b = 5.614 Å, c = 5.614 Å
α = 90.00°, β = 90.00°, γ = 90.00°
Fractional coordinates of all 5 atoms:
Pb1 0.500 0.500 0.500
Ru1 0.500 0.000 0.000
Ge1 0.000 0.500 0.000
Ge2 0.000 0.000 0.500
Ba1 0.000 0.000 0.000

- magnetization (μB/f.u.) = 0.002
- calculated formation energy (eV per atom) = 1.680

---

# 6
Entry from Alexandria via LeMat-Bulk: a relaxed RhPb2 crystal (PBEsol).

a = 5.529 Å, b = 5.529 Å, c = 5.529 Å
α = 105.96°, β = 105.96°, γ = 116.74°
Fractional coordinates of all 6 atoms:
Rh1 0.250 0.250 0.000
Rh2 0.750 0.750 0.000
Pb1 0.335 0.835 0.171
Pb2 0.665 0.165 0.829
Pb3 0.835 0.665 0.500
Pb4 0.165 0.335 0.500

- magnetization (μB/f.u.) = 0.000
- calculated formation energy (eV per atom) = -0.075

---

# 7
Entry from Alexandria via LeMat-Bulk: a relaxed Li3V2P3O12 crystal (PBEsol).

a = 8.315 Å, b = 8.315 Å, c = 8.490 Å
α = 62.06°, β = 62.06°, γ = 63.77°
Fractional coordinates of all 40 atoms:
Li1 0.163 0.233 0.862
Li2 0.000 0.500 0.500
Li3 0.500 0.000 0.000
Li4 0.837 0.767 0.138
Li5 0.767 0.837 0.638
Li6 0.233 0.163 0.362
O1 0.548 0.815 0.609
O2 0.769 0.054 0.920
O3 0.815 0.548 0.109
O4 0.874 0.984 0.202
O5 0.677 0.384 0.036
O6 0.752 0.594 0.430
O7 0.984 0.874 0.702
O8 0.126 0.016 0.798
O9 0.406 0.248 0.070
O10 0.384 0.677 0.536
O11 0.440 0.100 0.731
O12 0.054 0.769 0.420
O13 0.452 0.185 0.391
O14 0.616 0.323 0.464
O15 0.231 0.946 0.080
O16 0.560 0.900 0.269
O17 0.248 0.406 0.570
O18 0.594 0.752 0.930
O19 0.946 0.231 0.580
O20 0.900 0.560 0.769
O21 0.185 0.452 0.891
O22 0.016 0.126 0.298
O23 0.100 0.440 0.231
O24 0.323 0.616 0.964
P1 0.956 0.044 0.750
P2 0.445 0.256 0.533
P3 0.256 0.445 0.033
P4 0.744 0.555 0.967
P5 0.555 0.744 0.467
P6 0.044 0.956 0.250
V1 0.634 0.141 0.149
V2 0.859 0.366 0.351
V3 0.141 0.634 0.649
V4 0.366 0.859 0.851

- formation energy from raw total energies (meV/atom) = -2286
- magnetization (μB/f.u.) = 4.000
- energy above the lowest structure with this stoichiometry (eV per atom) = 0.024

---

# 8
Entry from Alexandria via LeMat-Bulk: a relaxed ZrNiBr2 crystal (PBEsol).

a = 3.343 Å, b = 3.439 Å, c = 8.086 Å
α = 103.59°, β = 90.00°, γ = 90.00°
Fractional coordinates of all 4 atoms:
Zr1 0.500 0.897 0.681
Ni1 0.000 0.304 0.526
Br1 0.000 0.042 0.947
Br2 0.500 0.757 0.346

- formation energy from raw total energies (meV/atom) = -685
- magnetization (μB/f.u.) = 0.000
- energy above the lowest structure with this stoichiometry (eV per atom) = 0.000

---

Which formula does entry 5 have? BaGe2RuPb

---

The highest magnetization belongs to which entry? Li3V2P3O12